[1]
This record from Alexandria via LeMat-Bulk describes a geometry-optimized CdMo3 structure. The functional is GGA-PBEsol.

abc: 2.792 2.792 28.992
angles: 90.00 90.00 120.00
Positions (direct):
Cd  0.000  0.000  0.000
Cd  0.333  0.667  0.667
Cd  0.667  0.333  0.333
Mo  0.000  0.000  0.246
Mo  0.000  0.000  0.500
Mo  0.000  0.000  0.754
Mo  0.333  0.667  0.167
Mo  0.333  0.667  0.421
Mo  0.333  0.667  0.912
Mo  0.667  0.333  0.088
Mo  0.667  0.333  0.579
Mo  0.667  0.333  0.833

Results
Space-group type: R-3m
Offset from the most stable computed form, kcal/mol of atoms: 5.46
E_form, eV per formula unit: 1.83
V, A^3/atom: 16.31

[2]
This record from Alexandria via LeMat-Bulk describes a geometry-optimized MgZrN2O structure. The functional is GGA-PBEsol.

abc: 3.823 3.823 3.657
angles: 90.00 90.00 90.00
Positions (direct):
Mg  0.000  0.000  0.000
Zr  0.500  0.500  0.500
N  0.000  0.500  0.000
N  0.500  0.000  0.000
O  0.000  0.000  0.500

Results
Space-group type: P4/mmm
Formation energy (no corrections), eV/atom: -0.31
V, A^3/atom: 10.69

[3]
This record from Alexandria via LeMat-Bulk describes a geometry-optimized Cs2Li3F5 structure. The functional is GGA-PBEsol.

abc: 3.952 10.169 10.169
angles: 22.94 90.00 90.00
Positions (direct):
Cs  0.000  0.000  0.000
Cs  0.500  0.351  0.351
Li  0.000  0.153  0.153
Li  0.000  0.744  0.744
Li  0.500  0.607  0.607
F  0.000  0.243  0.243
F  0.000  0.645  0.645
F  0.000  0.841  0.841
F  0.500  0.118  0.118
F  0.500  0.509  0.509

Results
Space-group type: Amm2
Formation energy (no corrections), eV/atom: -2.77
V, A^3/atom: 15.93

[4]
This record from Alexandria via LeMat-Bulk describes a geometry-optimized ScCrO3 structure. The functional is GGA-PBEsol.

abc: 5.353 7.343 4.981
angles: 90.00 90.00 90.00
Positions (direct):
Sc  0.076  0.250  0.028
Sc  0.424  0.750  0.528
Sc  0.576  0.250  0.472
Sc  0.924  0.750  0.972
Cr  0.000  0.000  0.500
Cr  0.000  0.500  0.500
Cr  0.500  0.000  0.000
Cr  0.500  0.500  0.000
O  0.057  0.750  0.362
O  0.191  0.570  0.817
O  0.191  0.930  0.817
O  0.309  0.070  0.317
O  0.309  0.430  0.317
O  0.443  0.250  0.862
O  0.557  0.750  0.138
O  0.691  0.570  0.683
O  0.691  0.930  0.683
O  0.809  0.070  0.183
O  0.809  0.430  0.183
O  0.943  0.250  0.638

Results
Space-group type: Pnma
Formation energy (no corrections), eV/atom: -2.75
V, A^3/atom: 9.79

[5]
This record from Alexandria via LeMat-Bulk describes a geometry-optimized TePb3Cl2O4 structure. The functional is GGA-PBEsol.

abc: 5.546 6.759 6.759
angles: 48.49 90.00 90.00
Positions (direct):
Te  0.000  0.000  0.000
Pb  0.000  0.685  0.685
Pb  0.500  0.178  0.178
Pb  0.500  0.460  0.460
Cl  0.000  0.324  0.324
Cl  0.500  0.813  0.813
O  0.234  0.300  0.833
O  0.234  0.833  0.300
O  0.766  0.300  0.833
O  0.766  0.833  0.300

Results
Space-group type: Amm2
Formation energy (no corrections), eV/atom: -1.20
V, A^3/atom: 18.97

[6]
This record from Alexandria via LeMat-Bulk describes a geometry-optimized Ca2ScAu2 structure. The functional is GGA-PBEsol.

abc: 7.388 7.388 4.402
angles: 90.00 90.00 90.00
Positions (direct):
Ca  0.167  0.333  0.000
Ca  0.333  0.833  0.000
Ca  0.667  0.167  0.000
Ca  0.833  0.667  0.000
Sc  0.000  0.000  0.500
Sc  0.500  0.500  0.500
Au  0.138  0.638  0.500
Au  0.362  0.138  0.500
Au  0.638  0.862  0.500
Au  0.862  0.362  0.500

Results
Space-group type: P4/mbm
E_form, eV per formula unit: -3.11
V, A^3/atom: 24.02

[7]
This record from Alexandria via LeMat-Bulk describes a geometry-optimized LiCeZn2 structure. The functional is GGA-PBEsol.

abc: 6.757 6.757 6.757
angles: 90.00 90.00 90.00
Positions (direct):
Li  0.000  0.000  0.000
Li  0.000  0.500  0.500
Li  0.500  0.000  0.500
Li  0.500  0.500  0.000
Ce  0.000  0.000  0.500
Ce  0.000  0.500  0.000
Ce  0.500  0.000  0.000
Ce  0.500  0.500  0.500
Zn  0.250  0.250  0.250
Zn  0.250  0.250  0.750
Zn  0.250  0.750  0.250
Zn  0.250  0.750  0.750
Zn  0.750  0.250  0.250
Zn  0.750  0.250  0.750
Zn  0.750  0.750  0.250
Zn  0.750  0.750  0.750

Results
Space-group type: Fm-3m
E_form, eV per formula unit: -0.50
V, A^3/atom: 19.29

[8]
This record from Alexandria via LeMat-Bulk describes a geometry-optimized TaMn2Os structure. The functional is GGA-PBEsol.

abc: 3.084 4.143 4.264
angles: 90.00 90.00 90.00
Positions (direct):
Ta  0.000  0.000  0.000
Mn  0.000  0.500  0.500
Mn  0.500  0.500  0.000
Os  0.500  0.000  0.500

Results
Space-group type: Pmmm
Offset from the most stable computed form, kcal/mol of atoms: 0.00
E_form, eV per formula unit: -0.14
V, A^3/atom: 13.62

[9]
This record from Alexandria via LeMat-Bulk describes a geometry-optimized Cd2CuNi2 structure. The functional is GGA-PBEsol.

abc: 6.096 6.096 3.927
angles: 90.00 90.00 90.00
Positions (direct):
Cd  0.172  0.328  0.000
Cd  0.328  0.828  0.000
Cd  0.672  0.172  0.000
Cd  0.828  0.672  0.000
Cu  0.000  0.000  0.500
Cu  0.500  0.500  0.500
Ni  0.132  0.632  0.500
Ni  0.368  0.132  0.500
Ni  0.632  0.868  0.500
Ni  0.868  0.368  0.500

Results
Space-group type: P4/mbm
E_form, eV per formula unit: 0.45
V, A^3/atom: 14.59

[10]
This record from Alexandria via LeMat-Bulk describes a geometry-optimized SiAs2Cl structure. The functional is GGA-PBEsol.

abc: 3.185 4.629 9.996
angles: 90.00 90.00 90.00
Positions (direct):
Si  0.000  0.000  0.000
Si  0.500  0.500  0.500
As  0.000  0.500  0.292
As  0.000  0.500  0.708
As  0.500  0.000  0.208
As  0.500  0.000  0.792
Cl  0.000  0.000  0.500
Cl  0.500  0.500  0.000

Results
Space-group type: Immm
Offset from the most stable computed form, kcal/mol of atoms: 4.31
Formation energy (no corrections), eV/atom: 0.22
V, A^3/atom: 18.42

[11]
This record from Alexandria via LeMat-Bulk describes a geometry-optimized Tb structure. The functional is GGA-PBEsol.

abc: 5.504 5.504 3.395
angles: 90.00 90.00 120.00
Positions (direct):
Tb  0.000  0.000  0.000
Tb  0.333  0.667  0.500
Tb  0.667  0.333  0.500

Results
Space-group type: P6/mmm
Offset from the most stable computed form, kcal/mol of atoms: 1.47
E_form, eV per formula unit: 0.06
V, A^3/atom: 29.68

[12]
This record from Alexandria via LeMat-Bulk describes a geometry-optimized ZrCu3F structure. The functional is GGA-PBEsol.

abc: 4.155 4.155 4.155
angles: 90.00 90.00 90.00
Positions (direct):
Zr  0.000  0.000  0.000
Cu  0.000  0.500  0.500
Cu  0.500  0.000  0.500
Cu  0.500  0.500  0.000
F  0.500  0.500  0.500

Results
Space-group type: Pm-3m
Formation energy (no corrections), eV/atom: 0.26
V, A^3/atom: 14.34

[13]
This record from Alexandria via LeMat-Bulk describes a geometry-optimized Sr3Be2 structure. The functional is GGA-PBEsol.

abc: 4.398 4.398 32.559
angles: 90.00 90.00 120.00
Positions (direct):
Sr  0.000  0.000  0.000
Sr  0.000  0.000  0.222
Sr  0.000  0.000  0.778
Sr  0.333  0.667  0.445
Sr  0.333  0.667  0.667
Sr  0.333  0.667  0.889
Sr  0.667  0.333  0.111
Sr  0.667  0.333  0.333
Sr  0.667  0.333  0.555
Be  0.000  0.000  0.391
Be  0.000  0.000  0.609
Be  0.333  0.667  0.057
Be  0.333  0.667  0.276
Be  0.667  0.333  0.724
Be  0.667  0.333  0.943

Results
Space-group type: R-3m
E_form, eV per formula unit: 3.13
V, A^3/atom: 36.35

[14]
This record from Alexandria via LeMat-Bulk describes a geometry-optimized Mg3Rh structure. The functional is GGA-PBEsol.

abc: 7.864 7.864 8.210
angles: 90.00 90.00 120.00
Positions (direct):
Mg  0.000  0.000  0.000
Mg  0.000  0.000  0.500
Mg  0.000  0.285  0.239
Mg  0.000  0.374  0.897
Mg  0.000  0.626  0.397
Mg  0.000  0.715  0.739
Mg  0.285  0.000  0.239
Mg  0.285  0.285  0.739
Mg  0.333  0.667  0.114
Mg  0.333  0.667  0.614
Mg  0.374  0.000  0.897
Mg  0.374  0.374  0.397
Mg  0.626  0.000  0.397
Mg  0.626  0.626  0.897
Mg  0.667  0.333  0.114
Mg  0.667  0.333  0.614
Mg  0.715  0.000  0.739
Mg  0.715  0.715  0.239
Rh  0.000  0.328  0.569
Rh  0.000  0.672  0.069
Rh  0.328  0.000  0.569
Rh  0.328  0.328  0.069
Rh  0.672  0.000  0.069
Rh  0.672  0.672  0.569

Results
Space-group type: P6_3cm
E_form, eV per formula unit: -1.20
V, A^3/atom: 18.32

[15]
This record from Alexandria via LeMat-Bulk describes a geometry-optimized CaCu3O structure. The functional is GGA-PBEsol.

abc: 4.945 4.945 4.945
angles: 90.00 90.00 90.00
Positions (direct):
Ca  0.000  0.000  0.000
Cu  0.000  0.000  0.500
Cu  0.000  0.500  0.000
Cu  0.500  0.000  0.000
O  0.500  0.500  0.500

Results
Space-group type: Pm-3m
Formation energy (no corrections), eV/atom: 1.94
V, A^3/atom: 24.18

[16]
This record from Alexandria via LeMat-Bulk describes a geometry-optimized MnNbGaAg2 structure. The functional is GGA-PBEsol.

abc: 4.609 4.609 4.866
angles: 90.00 90.00 90.00
Positions (direct):
Mn  0.000  0.000  0.000
Nb  0.500  0.500  0.000
Ga  0.500  0.500  0.500
Ag  0.000  0.500  0.500
Ag  0.500  0.000  0.500

Results
Space-group type: P4/mmm
E_form, eV per formula unit: 5.10
V, A^3/atom: 20.68

[17]
This record from Alexandria via LeMat-Bulk describes a geometry-optimized Ca3Pr2Sb3O14 structure. The functional is GGA-PBEsol.

abc: 7.465 7.465 7.426
angles: 119.29 119.29 60.69
Positions (direct):
Ca  0.000  0.000  0.000
Ca  0.000  0.000  0.500
Ca  0.500  0.500  0.000
Pr  0.000  0.500  0.500
Pr  0.500  0.000  0.500
Sb  0.000  0.500  0.000
Sb  0.500  0.000  0.000
Sb  0.500  0.500  0.500
O  0.122  0.122  0.378
O  0.129  0.599  0.907
O  0.183  0.586  0.319
O  0.188  0.188  0.906
O  0.401  0.871  0.093
O  0.405  0.405  0.633
O  0.414  0.817  0.681
O  0.586  0.183  0.319
O  0.595  0.595  0.367
O  0.599  0.129  0.907
O  0.812  0.812  0.094
O  0.817  0.414  0.681
O  0.871  0.401  0.093
O  0.878  0.878  0.622

Results
Space-group type: C2/m
Formation energy (no corrections), eV/atom: -2.39
V, A^3/atom: 13.51

[18]
This record from Alexandria via LeMat-Bulk describes a geometry-optimized CdIn structure. The functional is GGA-PBEsol.

abc: 3.114 5.535 5.461
angles: 90.00 90.00 90.00
Positions (direct):
Cd  0.000  0.000  0.000
Cd  0.500  0.500  0.000
In  0.000  0.500  0.500
In  0.500  0.000  0.500

Results
Space-group type: Cmmm
E_form, eV per formula unit: 0.11
V, A^3/atom: 23.53

[19]
This record from Alexandria via LeMat-Bulk describes a geometry-optimized NiPOF2 structure. The functional is GGA-PBEsol.

abc: 4.141 4.141 3.494
angles: 90.00 90.00 90.00
Positions (direct):
Ni  0.000  0.000  0.000
P  0.500  0.500  0.500
O  0.500  0.500  0.000
F  0.000  0.500  0.500
F  0.500  0.000  0.500

Results
Space-group type: P4/mmm
Formation energy (no corrections), eV/atom: -0.51
V, A^3/atom: 11.98

[20]
This record from Alexandria via LeMat-Bulk describes a geometry-optimized Tc2SbAs structure. The functional is GGA-PBEsol.

abc: 6.040 8.168 3.040
angles: 90.00 117.58 90.00
Positions (direct):
Tc  0.250  0.250  0.000
Tc  0.250  0.750  0.000
Tc  0.750  0.250  0.000
Tc  0.750  0.750  0.000
Sb  0.000  0.000  0.500
Sb  0.500  0.500  0.500
As  0.000  0.500  0.500
As  0.500  0.000  0.500

Results
Space-group type: C2/m
Offset from the most stable computed form, kcal/mol of atoms: 11.47
Formation energy (no corrections), eV/atom: 0.49
V, A^3/atom: 16.62

[21]
This record from Alexandria via LeMat-Bulk describes a geometry-optimized BaTc2Pb structure. The functional is GGA-PBEsol.

abc: 3.183 3.183 8.757
angles: 90.00 90.00 90.00
Positions (direct):
Ba  0.000  0.000  0.000
Tc  0.000  0.000  0.575
Tc  0.500  0.500  0.713
Pb  0.500  0.500  0.342

Results
Space-group type: P4mm
E_form, eV per formula unit: 1.29
V, A^3/atom: 22.17

[22]
This record from Alexandria via LeMat-Bulk describes a geometry-optimized Sr2LiAg2 structure. The functional is GGA-PBEsol.

abc: 3.933 3.933 19.353
angles: 90.00 90.00 90.00
Positions (direct):
Sr  0.000  0.000  0.117
Sr  0.000  0.000  0.883
Sr  0.500  0.500  0.383
Sr  0.500  0.500  0.617
Li  0.000  0.000  0.500
Li  0.500  0.500  0.000
Ag  0.000  0.500  0.250
Ag  0.000  0.500  0.750
Ag  0.500  0.000  0.250
Ag  0.500  0.000  0.750

Results
Space-group type: I4/mmm
Offset from the most stable computed form, kcal/mol of atoms: 4.34
E_form, eV per formula unit: -0.04
V, A^3/atom: 29.94

[23]
This record from Alexandria via LeMat-Bulk describes a geometry-optimized SiRu2O structure. The functional is GGA-PBEsol.

abc: 5.680 5.680 5.680
angles: 90.00 90.00 90.00
Positions (direct):
Si  0.000  0.000  0.000
Si  0.000  0.500  0.500
Si  0.500  0.000  0.500
Si  0.500  0.500  0.000
Ru  0.250  0.250  0.250
Ru  0.250  0.250  0.750
Ru  0.250  0.750  0.250
Ru  0.250  0.750  0.750
Ru  0.750  0.250  0.250
Ru  0.750  0.250  0.750
Ru  0.750  0.750  0.250
Ru  0.750  0.750  0.750
O  0.000  0.000  0.500
O  0.000  0.500  0.000
O  0.500  0.000  0.000
O  0.500  0.500  0.500

Results
Space-group type: Fm-3m
Formation energy (no corrections), eV/atom: 0.01
V, A^3/atom: 11.45

[24]
This record from Alexandria via LeMat-Bulk describes a geometry-optimized BaSr structure. The functional is GGA-PBEsol.

abc: 4.251 4.251 14.036
angles: 90.00 90.00 120.00
Positions (direct):
Ba  0.333  0.667  0.128
Ba  0.667  0.333  0.872
Sr  0.333  0.667  0.622
Sr  0.667  0.333  0.378

Results
Space-group type: P-3m1
Offset from the most stable computed form, kcal/mol of atoms: 0.35
E_form, eV per formula unit: 0.03
V, A^3/atom: 54.93

[25]
This record from Alexandria via LeMat-Bulk describes a geometry-optimized MoRu3 structure. The functional is GGA-PBEsol.

abc: 5.430 5.430 4.305
angles: 90.00 90.00 120.00
Positions (direct):
Mo  0.333  0.667  0.250
Mo  0.667  0.333  0.750
Ru  0.166  0.333  0.750
Ru  0.166  0.834  0.750
Ru  0.333  0.166  0.250
Ru  0.667  0.834  0.750
Ru  0.834  0.166  0.250
Ru  0.834  0.667  0.250

Results
Space-group type: P6_3/mmc
Offset from the most stable computed form, kcal/mol of atoms: 0.00
E_form, eV per formula unit: -0.22
V, A^3/atom: 13.74